PrCd2Hg | GGA-PBE | optimized geometry

POSCAR file:
```
PrCd2Hg
1.0
4.9852 0.0000 0.0000
0.0000 4.5870 0.0000
0.0000 0.0000 4.5870
Pr Cd Hg
1 2 1
direct
0.5000 0.5000 0.5000
0.0000 0.5000 0.0000
0.0000 0.0000 0.5000
0.5000 0.0000 0.0000
```

Output
Its space-group type is No. 123. The value obtained for the final energy is -2.0242 eV per atom. As for the energy of formation from the pure elements: -0.30 eV/atom. Its total magnetization is 0.00 μB per formula unit. The value obtained for the relative energy among the computed polymorphs is 5.6 kJ/mol of atoms.